Density functional theory data (PBE) for crystalline ReAgCl2 at its relaxed geometry.

a b c (Å): 3.007 3.007 8.147
angles (deg): 90.00 90.00 90.00
Space group P4mm (No. 99)
Asymmetric unit:
1 Re 0.000 0.000 0.000 [1 per cell]
2 Ag 0.500 0.500 0.247 [1 per cell]
3 Cl 0.000 0.000 0.467 [1 per cell]
4 Cl 0.500 0.500 0.836 [1 per cell]

Calculated values
- D(E_F) (states/eV/f.u.) = 2.51
- formation energy without anion corrections (eV/atom) = 0.49